(1)
This record from Alexandria via LeMat-Bulk describes Ba3Ac3SmTe8 after structural relaxation. The functional is PBE-GGA.

Lattice parameters (Å, degrees): 9.525 9.525 9.781 119.14 90.00 120.00
Atoms (fractional coordinates):
Ba 0.000 0.500 0.000
Ba 0.500 0.500 0.000
Ba 0.000 0.000 0.000
Te 0.764 0.529 0.275
Te 0.246 0.010 0.275
Te 0.254 0.508 0.262
Te 0.746 0.492 0.738
Te 0.764 0.010 0.275
Te 0.236 0.990 0.725
Te 0.236 0.471 0.725
Te 0.754 0.990 0.725
Ac 0.500 0.000 0.500
Ac 0.500 0.500 0.500
Ac 0.000 0.500 0.500
Sm 0.000 0.000 0.500

V = 635.52 Å³ per cell
Energy relative to the elements, uncorrected = -24.26 eV/f.u.
SG = R-3m, No. 166

=====

(2)
This record from Alexandria via LeMat-Bulk describes Ba4Ac3SmTe8 after structural relaxation. The functional is PBE-GGA.

Lattice parameters (Å, degrees): 9.559 9.704 9.559 119.51 120.00 90.00
Atoms (fractional coordinates):
Ba 0.500 0.000 0.500
Ba 0.000 0.000 0.000
Ba 0.000 0.000 0.500
Ba 0.500 0.000 0.000
Te 0.254 0.262 0.508
Te 0.761 0.269 0.522
Te 0.247 0.269 0.008
Te 0.746 0.738 0.492
Te 0.239 0.731 0.478
Te 0.239 0.731 0.992
Te 0.753 0.731 0.992
Te 0.761 0.269 0.008
Ac 0.500 0.500 0.500
Ac 0.000 0.500 0.500
Ac 0.500 0.500 0.000
Sm 0.000 0.500 0.000

V = 631.54 Å³ per cell
Energy relative to the elements, uncorrected = -25.79 eV/f.u.
SG = R-3m, No. 166

=====

(3)
This record from Alexandria via LeMat-Bulk describes BaAc2SmTl4 after structural relaxation. The functional is PBE-GGA.

Lattice parameters (Å, degrees): 5.813 5.813 10.078 73.24 73.24 60.00
Atoms (fractional coordinates):
Tl 0.130 0.130 0.611
Tl 0.616 0.616 0.151
Tl 0.870 0.870 0.389
Tl 0.384 0.384 0.849
Ac 0.251 0.251 0.246
Ac 0.749 0.749 0.754
Ba 0.000 0.000 0.000
Sm 0.500 0.500 0.500

V = 278.12 Å³ per cell
SG = R-3m, No. 166
ΔH_f (0 K) = -2.7 eV per formula unit